# GGA-PBE CsPbCl2, optimized geometry
# - calculated density (g/cm3) = 3.63
# - ΔE to the lowest computed polymorph (meV per atom) = 88
# - magnetic moment (μB/f.u.) = 1.000
# - D(E_F) (states/eV/f.u.) = 0.86
# - E_form (uncorrected) (eV per atom) = -1.041
data_CsPbCl2
_cell_length_a 6.5392
_cell_length_b 6.5392
_cell_length_c 17.5862
_cell_angle_alpha 90.00
_cell_angle_beta 90.00
_cell_angle_gamma 90.00
_symmetry_space_group_name_H-M 'I -4 2 d'
_symmetry_Int_Tables_number 122
_symmetry_space_group_name_Hall 'I -4 2bw'
loop_
_atom_site_label
_atom_site_type_symbol
_atom_site_fract_x
_atom_site_fract_y
_atom_site_fract_z
Cs1 Cs 0.0000 0.0000 0.0000
Pb1 Pb 0.0000 0.0000 0.5000
Cl1 Cl 0.1817 0.2500 0.6250

***

# GGA-PBE Cs3Pb2Cl7, optimized geometry
# - calculated density (g/cm3) = 3.73
# - magnetic moment (μB/f.u.) = 0.000
# - D(E_F) (states/eV/f.u.) = 0.00
# - E_form (uncorrected) (eV per atom) = -1.601
data_Cs3Pb2Cl7
_cell_length_a 5.7273
_cell_length_b 5.7273
_cell_length_c 28.8444
_cell_angle_alpha 90.00
_cell_angle_beta 90.00
_cell_angle_gamma 90.00
_symmetry_space_group_name_H-M 'I 4/m m m'
_symmetry_Int_Tables_number 139
_symmetry_space_group_name_Hall '-I 4 2'
loop_
_atom_site_label
_atom_site_type_symbol
_atom_site_fract_x
_atom_site_fract_y
_atom_site_fract_z
Cs1 Cs 0.0000 0.0000 0.0000
Cs2 Cs 0.0000 0.0000 0.1821
Pb1 Pb 0.0000 0.0000 0.3990
Cl1 Cl 0.0000 0.0000 0.3007
Cl2 Cl 0.0000 0.0000 0.5000
Cl3 Cl 0.0000 0.5000 0.0982

***

# GGA-PBE Cs6PbCl8, optimized geometry
# - calculated density (g/cm3) = 3.50
# - magnetic moment (μB/f.u.) = 0.000
# - D(E_F) (states/eV/f.u.) = 0.00
# - E_form (uncorrected) (eV per atom) = -1.805
data_Cs6PbCl8
_cell_length_a 10.1586
_cell_length_b 10.1586
_cell_length_c 20.4881
_cell_angle_alpha 90.00
_cell_angle_beta 90.00
_cell_angle_gamma 120.00
_symmetry_space_group_name_H-M 'R -3'
_symmetry_Int_Tables_number 148
_symmetry_space_group_name_Hall '-R 3'
loop_
_atom_site_label
_atom_site_type_symbol
_atom_site_fract_x
_atom_site_fract_y
_atom_site_fract_z
Cs1 Cs 0.0193 0.4079 0.4186
Pb1 Pb 0.0000 0.0000 0.5000
Cl1 Cl 0.0000 0.0000 0.1582
Cl2 Cl 0.0103 0.2397 0.5808